First-principles (PBE with a Hubbard U) data for a relaxed structure of ReSiWF2, as listed in Alexandria.

Output
- Density of states at the Fermi level: 0.56 states/eV per atom
- DFT total energy: -28.305 eV/cell

```
5
Lattice="4.039 0.000 0.000 0.000 4.039 0.000 0.000 0.000 5.158" Properties=species:S:1:pos:R:3 pbc="T T T"
Re 0.000 0.000 0.000
Si 0.000 0.000 2.579
W 2.020 2.020 2.579
F 0.000 2.020 0.000
F 2.020 0.000 0.000
```